No. 1
LaAgSnO3 | PBE | optimized geometry

Cell: 3.7581 6.9649 8.3576 Å, 90.00 90.00 74.35°
With the nearest neighbours (Å) after each atom.
Sites, in units of the cell vectors:
Ag  0.6602  0.6796  0.2500  2 O 2.19
Ag  0.3398  0.3204  0.7500  2 O 2.19
La  0.0000  0.0000  0.0000  6 O 2.40-2.41
La  0.0000  0.0000  0.5000  6 O 2.40-2.41
O  0.3874  0.2253  0.0008  1 Ag 2.19, 1 Sn 2.25, 2 La 2.41
O  0.9118  0.1764  0.2500  2 Sn 2.21, 2 La 2.40
O  0.3874  0.2253  0.4992  1 Ag 2.19, 1 Sn 2.25, 2 La 2.41
O  0.6126  0.7747  0.5008  1 Ag 2.19, 1 Sn 2.25, 2 La 2.41
O  0.0882  0.8236  0.7500  2 Sn 2.21, 2 La 2.40
O  0.6126  0.7747  0.9992  1 Ag 2.19, 1 Sn 2.25, 2 La 2.41
Sn  0.3246  0.3508  0.2500  4 O 2.21-2.25
Sn  0.6754  0.6492  0.7500  4 O 2.21-2.25

Values from the calculation:
**Space group**: Cmcm


No. 2
NdNpAl | PBE | optimized geometry

Cell: 4.9929 4.9929 4.9929 Å, 60.00 60.00 60.00°
With the nearest neighbours (Å) after each atom.
Sites, in units of the cell vectors:
Al  0.7500  0.7500  0.7500  4 Nd 3.06
Nd  0.0000  0.0000  0.0000  4 Al 3.06, 4 Np 3.06
Np  0.2500  0.2500  0.2500  4 Nd 3.06

Values from the calculation:
**Space group**: F-43m


No. 3
NbB | PBE | optimized geometry

Cell: 3.1351 3.1351 3.0370 Å, 90.00 90.00 120.00°
With the nearest neighbours (Å) after each atom.
Sites, in units of the cell vectors:
B  0.6667  0.3333  0.7500  6 Nb 2.36
Nb  0.3333  0.6667  0.2500  6 B 2.36

Values from the calculation:
**Space group**: P-6m2


| no. | ρ (g/cm³) | size of the total moment (μB/f.u.) | energy (eV/atom) |
| --- | --- | --- | --- |
| 1 | 6.5 | 0.0 | -6.262 |
| 2 | 7.7 | 5.0 | -6.276 |
| 3 | 6.7 | 0.0 | -8.201 |